Below is HoSnOs after structural relaxation, with properties calculated at the GGA-PBE level.

Cell lengths 4.732, 4.732, 4.732 Å; angles 60.00, 60.00, 60.00 degrees
Fractional coordinates of all 3 atoms:
Ho: 0.000 0.000 0.000
Os: 0.750 0.750 0.750
Sn: 0.250 0.250 0.250

calculated total energy: -17.7 eV per cell
density: 10.5 g/cm³
space group: F-43m (216)